[1]
VASP calculation (PBE) on crystalline Pu4Se2SCl at its relaxed geometry.

```
Pu4Se2SCl
1.0
-2.3591 -1.2424 -3.1045
0.0103 -6.5045 2.5951
-5.4378 -0.8044 4.4541
S Se Pu Cl
1 2 4 1
Cartesian
-1.1744 -3.8734 -0.2547
-5.4378 -0.8044 4.4541
-3.8985 -1.0234 0.6748
-2.5178 -5.6372 1.4720
-3.6639 -3.1448 -1.3517
-4.1228 -5.4065 5.2965
-5.2689 -2.9141 2.4728
-2.7138 -3.6544 3.5246
```

SG = P2/m
crystal system = monoclinic

=====

[2]
VASP calculation (PBE) on crystalline PuTl2S2Cl2 at its relaxed geometry.

```
PuTl2S2Cl2
1.0
5.2486 0.0000 0.0000
0.0000 5.2486 0.0000
-2.6243 -2.6243 8.1072
Tl S Cl Pu
2 2 2 1
Cartesian
0.0000 0.0000 6.0049
2.6243 2.6243 2.1023
0.0000 2.6243 0.0000
2.6243 0.0000 0.0000
0.0000 0.0000 2.6699
2.6243 2.6243 5.4373
0.0000 0.0000 0.0000
```

SG = I4/mmm
crystal system = tetragonal

=====

[3]
VASP calculation (PBE) on crystalline PuScCl6 at its relaxed geometry.

```
PuScCl6
1.0
6.3237 0.8295 -1.2993
-2.3859 5.5955 -3.4548
0.5362 -0.3595 6.9657
Cl Sc Pu
6 1 1
Cartesian
0.2874 4.1064 2.2661
0.7675 2.4751 -0.8521
3.7065 3.5904 3.0638
2.8877 5.2588 0.1441
4.1865 1.9590 -0.0545
1.5862 0.8066 2.0675
2.2370 3.0327 1.1058
0.0000 0.0000 0.0000
```

SG = C2/m
polymorph energy (0 for the lowest one) = 0.00 kcal/mol of atoms
crystal system = monoclinic

=====

[4]
VASP calculation (PBE) on crystalline PuScCl4 at its relaxed geometry.

```
PuScCl4
1.0
-2.4088 -2.6152 1.2097
0.4542 -1.3695 -7.8860
4.7846 -2.5804 3.9488
Cl Sc Pu
4 1 1
Cartesian
3.0873 -4.3565 2.5595
2.1222 -1.8318 0.2658
0.7079 -4.7333 -2.9932
-0.2573 -2.2086 -5.2870
1.1879 -2.5978 2.5793
0.0000 0.0000 0.0000
```

SG = C2/m
polymorph energy (0 for the lowest one) = 0.00 kcal/mol of atoms
crystal system = monoclinic

=====

[5]
VASP calculation (PBE) on crystalline PuSc2Cl at its relaxed geometry.

```
PuSc2Cl
1.0
-1.5242 -2.0996 2.1179
1.7888 -1.6455 2.3042
-1.1918 5.6580 7.3996
Cl Sc Pu
1 2 1
Cartesian
0.0000 0.0000 0.0000
-0.1978 0.2950 2.7982
-0.7294 1.6180 9.0235
-0.4636 0.9565 5.9108
```

SG = R-3m
crystal system = trigonal

=====

[6]
VASP calculation (PBE) on crystalline PuScCl4 at its relaxed geometry.

```
PuScCl4
1.0
6.6547 -0.5366 0.0000
-1.7018 6.5072 0.0000
-2.4764 -2.9853 7.9078
Pu Cl Sc
2 8 2
Cartesian
0.8128 3.1195 1.0255
1.6637 -0.1341 6.8823
-0.5765 1.5155 2.7231
2.2020 4.7234 2.7231
-1.2777 5.0413 0.9972
3.7541 -2.0559 6.9105
-0.4268 1.7877 6.9105
2.9032 1.1977 0.9972
0.2744 -1.7381 5.1846
3.0529 1.4698 5.1846
-2.5146 3.3877 6.9617
4.9910 -0.4024 0.9460
```

SG = C2/c
polymorph energy (0 for the lowest one) = 1.52 kcal/mol of atoms
crystal system = monoclinic

=====

Formation energy from raw total energies across the listed records, respectively: -34.0, -26.2, -45.5, -41.6, -13.1, -40.1 kcal/mol of atoms.
E across the listed records, respectively: -10.26, -5.57, -5.94, -6.48, -7.78, -6.42 eV/atom.